No. 1
# Pm4GePS2 (PBE, relaxed)
# E_form (uncorrected) ... -1670.6 meV per atom
data_Pm4GePS2
_chemical_formula_sum 'Pm4 Ge1 P1 S2'
_symmetry_space_group_name_H-M 'P 1'
_symmetry_Int_Tables_number 1
_cell_length_a 4.136
_cell_length_b 7.143
_cell_length_c 7.160
_cell_angle_alpha 70.50
_cell_angle_beta 90.00
_cell_angle_gamma 90.00
loop_
_symmetry_equiv_pos_as_xyz
'x,y,z'
loop_
_atom_site_label
_atom_site_type_symbol
_atom_site_fract_x
_atom_site_fract_y
_atom_site_fract_z
_atom_site_occupancy
Pm1 Pm 0.000 0.748 0.748 1
P1 P 0.000 0.500 0.500 1
S1 S 0.000 0.000 0.000 1
Pm2 Pm 0.500 0.255 0.746 1
Pm3 Pm 0.000 0.252 0.252 1
S2 S 0.500 0.000 0.500 1
Pm4 Pm 0.500 0.745 0.254 1
Ge1 Ge 0.500 0.500 0.000 1

No. 2
# BeOsRu (PBE, relaxed)
# ΔE_f ... 0 meV per atom
data_BeOsRu
_chemical_formula_sum 'Be2 Os2 Ru2'
_symmetry_space_group_name_H-M 'P 1'
_symmetry_Int_Tables_number 1
_cell_length_a 4.511
_cell_length_b 4.457
_cell_length_c 4.457
_cell_angle_alpha 60.71
_cell_angle_beta 97.48
_cell_angle_gamma 82.52
loop_
_symmetry_equiv_pos_as_xyz
'x,y,z'
loop_
_atom_site_label
_atom_site_type_symbol
_atom_site_fract_x
_atom_site_fract_y
_atom_site_fract_z
_atom_site_occupancy
Be1 Be 0.121 0.003 0.190 1
Be2 Be 0.619 0.504 0.689 1
Os1 Os 0.119 0.668 0.854 1
Ru1 Ru 0.620 0.168 0.354 1
Ru2 Ru 0.620 0.840 0.025 1
Os2 Os 0.120 0.339 0.525 1

No. 3
# Si2OsPt (PBE, relaxed)
# E_form (uncorrected) ... -260.0 meV per atom
data_Si2OsPt
_chemical_formula_sum 'Si2 Os1 Pt1'
_symmetry_space_group_name_H-M 'P 1'
_symmetry_Int_Tables_number 1
_cell_length_a 4.219
_cell_length_b 4.219
_cell_length_c 4.909
_cell_angle_alpha 79.40
_cell_angle_beta 79.40
_cell_angle_gamma 41.13
loop_
_symmetry_equiv_pos_as_xyz
'x,y,z'
loop_
_atom_site_label
_atom_site_type_symbol
_atom_site_fract_x
_atom_site_fract_y
_atom_site_fract_z
_atom_site_occupancy
Si1 Si 0.494 0.494 0.525 1
Pt1 Pt 0.250 0.250 0.250 1
Os1 Os 0.750 0.750 0.750 1
Si2 Si 0.006 0.006 0.975 1